# 1
Computed, not measured: an optimized crystal structure of ScGa2Tc at the GGA-PBE level of DFT.

Cell lengths 3.918, 3.918, 4.205 Å; angles 90.00, 90.00, 90.00 degrees
Fractional positions:
Sc (0.000, 0.000, 0.000)
Ga (0.000, 0.500, 0.500)
Ga (0.500, 0.000, 0.500)
Tc (0.500, 0.500, 0.000)

Values from the calculation:
- E: -0.220 hartree per atom
- Energy above the lowest structure with this stoichiometry: 0.090 eV/atom
- Spin magnetization: 0.3 μB per formula unit
- Energy relative to the elements: -0.31 eV per atom
- Crystal system: tetragonal

=====

# 2
Computed, not measured: an optimized crystal structure of Ta2Al2Pb at the GGA-PBE level of DFT.

Cell lengths 3.959, 3.959, 13.401 Å; angles 90.00, 90.00, 90.00 degrees
Fractional positions:
Ta (0.000, 0.500, 0.250)
Ta (0.000, 0.500, 0.750)
Ta (0.500, 0.000, 0.250)
Ta (0.500, 0.000, 0.750)
Al (0.000, 0.000, 0.100)
Al (0.000, 0.000, 0.900)
Al (0.500, 0.500, 0.400)
Al (0.500, 0.500, 0.600)
Pb (0.000, 0.000, 0.500)
Pb (0.500, 0.500, 0.000)

Values from the calculation:
- E: -0.241 hartree per atom
- Energy above the lowest structure with this stoichiometry: 0.043 eV/atom
- Spin magnetization: 0.0 μB per formula unit
- Energy relative to the elements: 0.41 eV per atom
- Crystal system: tetragonal

=====

# 3
Computed, not measured: an optimized crystal structure of Pd2Rh2Pb at the GGA-PBE level of DFT.

Cell lengths 7.683, 7.683, 2.941 Å; angles 90.00, 90.00, 90.00 degrees
Fractional positions:
Pd (0.127, 0.373, 0.000)
Pd (0.373, 0.873, 0.000)
Pd (0.627, 0.127, 0.000)
Pd (0.873, 0.627, 0.000)
Rh (0.170, 0.670, 0.500)
Rh (0.330, 0.170, 0.500)
Rh (0.670, 0.830, 0.500)
Rh (0.830, 0.330, 0.500)
Pb (0.000, 0.000, 0.000)
Pb (0.500, 0.500, 0.000)

Values from the calculation:
- E: -0.202 hartree per atom
- Energy above the lowest structure with this stoichiometry: 0.081 eV/atom
- Spin magnetization: 0.0 μB per formula unit
- Energy relative to the elements: 0.25 eV per atom
- Crystal system: tetragonal

=====

# 4
Computed, not measured: an optimized crystal structure of Ac6Ho at the GGA-PBE level of DFT.

Cell lengths 7.135, 7.135, 12.482 Å; angles 90.00, 90.00, 90.00 degrees
Fractional positions:
Ac (0.078, 0.578, 0.137)
Ac (0.078, 0.922, 0.863)
Ac (0.250, 0.250, 0.362)
Ac (0.250, 0.250, 0.638)
Ac (0.422, 0.578, 0.863)
Ac (0.422, 0.922, 0.137)
Ac (0.578, 0.078, 0.863)
Ac (0.578, 0.422, 0.137)
Ac (0.750, 0.750, 0.362)
Ac (0.750, 0.750, 0.638)
Ac (0.922, 0.078, 0.137)
Ac (0.922, 0.422, 0.863)
Ho (0.250, 0.750, 0.500)
Ho (0.750, 0.250, 0.500)

Values from the calculation:
- E: -0.141 hartree per atom
- Spin magnetization: 0.0 μB per formula unit
- Energy relative to the elements: 0.33 eV per atom
- Crystal system: tetragonal

=====

# 5
Computed, not measured: an optimized crystal structure of CsRb2HgAu at the GGA-PBE level of DFT.

Cell lengths 6.845, 6.845, 5.614 Å; angles 90.00, 90.00, 90.00 degrees
Fractional positions:
Cs (0.000, 0.000, 0.000)
Rb (0.000, 0.500, 0.500)
Rb (0.500, 0.000, 0.500)
Hg (0.500, 0.500, 0.000)
Au (0.500, 0.500, 0.500)

Values from the calculation:
- E: -0.051 hartree per atom
- Energy above the lowest structure with this stoichiometry: 0.000 eV/atom
- Spin magnetization: 0.0 μB per formula unit
- Energy relative to the elements: -0.12 eV per atom
- Crystal system: tetragonal

=====

# 6
Computed, not measured: an optimized crystal structure of NbTl2I2 at the GGA-PBE level of DFT.

Cell lengths 6.613, 6.613, 8.856 Å; angles 90.00, 90.00, 90.00 degrees
Fractional positions:
Nb (0.000, 0.000, 0.000)
Nb (0.500, 0.500, 0.500)
Tl (0.000, 0.000, 0.331)
Tl (0.000, 0.000, 0.669)
Tl (0.500, 0.500, 0.169)
Tl (0.500, 0.500, 0.831)
I (0.000, 0.500, 0.250)
I (0.000, 0.500, 0.750)
I (0.500, 0.000, 0.250)
I (0.500, 0.000, 0.750)

Values from the calculation:
- E: -0.109 hartree per atom
- Energy above the lowest structure with this stoichiometry: 0.098 eV/atom
- Spin magnetization: 3.7 μB per formula unit
- ΔE_f (raw): 0.610 eV/atom
- Crystal system: tetragonal

=====

# 7
Computed, not measured: an optimized crystal structure of K2ZnRh at the GGA-PBE level of DFT.

Cell lengths 7.304, 7.304, 7.304 Å; angles 90.00, 90.00, 90.00 degrees
Fractional positions:
K (0.000, 0.000, 0.000)
K (0.000, 0.500, 0.500)
K (0.250, 0.250, 0.250)
K (0.250, 0.750, 0.750)
K (0.500, 0.000, 0.500)
K (0.500, 0.500, 0.000)
K (0.750, 0.250, 0.750)
K (0.750, 0.750, 0.250)
Zn (0.250, 0.250, 0.750)
Zn (0.250, 0.750, 0.250)
Zn (0.750, 0.250, 0.250)
Zn (0.750, 0.750, 0.750)
Rh (0.000, 0.000, 0.500)
Rh (0.000, 0.500, 0.000)
Rh (0.500, 0.000, 0.000)
Rh (0.500, 0.500, 0.500)

Values from the calculation:
- E: -0.082 hartree per atom
- Spin magnetization: 0.0 μB per formula unit
- Energy relative to the elements: 0.46 eV per atom
- Crystal system: cubic

=====

# 8
Computed, not measured: an optimized crystal structure of As2WBr at the GGA-PBE level of DFT.

Cell lengths 5.060, 5.060, 2.907 Å; angles 90.00, 90.00, 90.00 degrees
Fractional positions:
As (0.000, 0.500, 0.000)
As (0.500, 0.000, 0.000)
W (0.000, 0.000, 0.500)
Br (0.500, 0.500, 0.500)

Values from the calculation:
- E: -0.184 hartree per atom
- Energy above the lowest structure with this stoichiometry: 0.898 eV/atom
- Spin magnetization: 0.0 μB per formula unit
- ΔE_f (raw): 0.982 eV/atom
- Crystal system: tetragonal